The following is a DFT calculation (PBE-GGA) of a relaxed structure of TmGaSi2.

Values from the calculation:
SG = P4/mmm, No. 123
ΔE_f (raw) = -0.299 eV per atom
E = -4.89 eV per atom
Total moment = 0.00 μB per formula unit

Cell lengths 4.182, 4.182, 4.094 Å; angles 90.00, 90.00, 90.00 degrees
Element x y z (fractional)
Tm 0.000 0.000 0.000
Ga 0.500 0.500 0.000
Si 0.000 0.500 0.500
Si 0.500 0.000 0.500

The following is a DFT calculation (PBE-GGA) of a relaxed structure of Y2Tm2Ga4Si.

Values from the calculation:
SG = I4/mmm, No. 139
ΔE_f (raw) = -0.309 eV per atom
E = -4.69 eV per atom
Total moment = 0.00 μB per formula unit

Cell lengths 6.531, 6.531, 6.531 Å; angles 116.14, 116.14, 96.83 degrees
Element x y z (fractional)
Y 0.250 0.750 0.500
Y 0.750 0.250 0.500
Tm 0.194 0.194 0.000
Tm 0.806 0.806 0.000
Ga 0.250 0.250 0.499
Ga 0.250 0.750 0.000
Ga 0.750 0.250 0.000
Ga 0.750 0.750 0.501
Si 0.500 0.500 0.000